## Li2AgRu (PBE-GGA)

Data for crystalline Li2AgRu at its relaxed geometry.

a = 2.652 Å, b = 2.652 Å, c = 9.009 Å
α = 90.00°, β = 90.00°, γ = 90.00°
Element x y z (fractional)
Li 0.000 0.000 0.000
Li 0.500 0.500 0.288
Ag 0.500 0.500 0.765
Ru 0.000 0.000 0.512

Results
As for the offset from the most stable computed form: 151 meV/atom. The volume is 15.84 Å³ per atom. The calculation puts the density at 5.84 Mg/m³.

---

## LiAg2Ru (PBE-GGA)

Data for crystalline LiAg2Ru at its relaxed geometry.

a = 4.508 Å, b = 4.508 Å, c = 4.508 Å
α = 60.00°, β = 60.00°, γ = 60.00°
Element x y z (fractional)
Li 0.000 0.000 0.000
Ag 0.250 0.250 0.250
Ag 0.750 0.750 0.750
Ru 0.500 0.500 0.500

Results
As for the offset from the most stable computed form: 200 meV/atom. The volume is 16.20 Å³ per atom. The calculation puts the density at 8.30 Mg/m³.

---

## Li2AgRu (PBE-GGA)

Data for crystalline Li2AgRu at its relaxed geometry.

a = 4.695 Å, b = 4.695 Å, c = 5.075 Å
α = 96.75°, β = 96.75°, γ = 32.06°
Element x y z (fractional)
Li 0.249 0.249 0.229
Li 0.751 0.751 0.771
Ag 0.000 0.000 0.500
Ru 0.500 0.500 0.000

Results
As for the offset from the most stable computed form: 42 meV/atom. The volume is 14.73 Å³ per atom. The calculation puts the density at 6.28 Mg/m³.

---

## LiAgRu3 (PBE-GGA)

Data for crystalline LiAgRu3 at its relaxed geometry.

a = 4.897 Å, b = 4.897 Å, c = 4.897 Å
α = 90.00°, β = 90.00°, γ = 90.00°
Element x y z (fractional)
Li 0.000 0.000 0.000
Ag 0.500 0.500 0.500
Ru 0.000 0.500 0.500
Ru 0.500 0.000 0.500
Ru 0.500 0.500 0.000

Results
As for the offset from the most stable computed form: 950 meV/atom. The volume is 23.48 Å³ per atom. The calculation puts the density at 5.91 Mg/m³.